Material: Nd3Co
Method: DFT, PBE-GGA
State: optimized geometry

```
Nd3Co
1.0
3.506 0.000 0.000
0.000 3.636 0.000
0.000 0.000 9.389
Nd Co
3 1
Direct
0.000 0.000 0.000 Nd
0.000 0.500 0.344 Nd
0.500 0.500 0.703 Nd
0.500 0.000 0.487 Co
```

Output
Final energy in Ry per atom: -0.3782
DOS at the Fermi energy in states/eV per atom: 1.2574
Space-group type: No. 25

***

Material: ZnPtRh2
Method: DFT, PBE-GGA
State: optimized geometry

```
ZnPtRh2
1.0
2.668 -4.641 0.000
2.668 4.641 0.000
-1.330 0.000 2.379
Zn Pt Rh
1 1 2
Direct
0.000 0.000 0.000 Zn
0.500 0.500 0.000 Pt
0.000 0.500 0.500 Rh
0.500 0.000 0.500 Rh
```

Output
Final energy in Ry per atom: -0.4119
DOS at the Fermi energy in states/eV per atom: 1.0948
Space-group type: No. 12

***

Q: final energy of number 2 (ZnPtRh2)?
A: -0.4119 Ry per atom

***

Q: Look up the DOS at the Fermi energy of the second one.
A: 1.0948 states/eV per atom